Entry 1:
A relaxed Na3Os crystal. Source: the Alexandria database, functional PBE.

## Properties
- ΔE_f (meV per atom) = 1130

a b c (Å): 7.1765 7.1765 7.1765
angles (deg): 90.00 90.00 90.00
Space group Fm-3m (No. 225)
One atom of each set of equivalent atoms:
1 Na 0.0000 0.0000 0.0000 [4 per cell]
2 Na 0.2500 0.2500 0.2500 [8 per cell]
3 Os 0.0000 0.0000 0.5000 [4 per cell]

***

Entry 2:
A relaxed NaOs crystal. Source: the Alexandria database, functional PBE.

## Properties
- ΔE_f (meV per atom) = 645

a b c (Å): 4.1983 4.1983 16.4645
angles (deg): 90.00 90.00 120.00
Space group R-3m (No. 166, hexagonal axes)
One atom of each set of equivalent atoms:
1 Na 0.0000 0.0000 0.1191 [6 per cell]
2 Os 0.0000 0.0000 0.3313 [6 per cell]

***

Entry 3:
A relaxed NaOs crystal. Source: the Alexandria database, functional PBE.

## Properties
- ΔE_f (meV per atom) = 702

a b c (Å): 4.6870 2.6862 5.4733
angles (deg): 90.00 106.74 90.00
Space group C2/m (No. 12)
One atom of each set of equivalent atoms:
1 Na 0.0000 0.0000 0.0000 [2 per cell]
2 Os 0.0000 0.5000 0.5000 [2 per cell]

***

| no. | magnetic moment (μB per atom) |
| --- | --- |
| 1 | 0.45 |
| 2 | 0.00 |
| 3 | 0.00 |